Ba2NaSiF after structural relaxation. Source: Alexandria, functional PBE.

```
Ba2NaSiF
1.0
5.515 0.000 0.000
0.000 5.515 0.000
0.000 0.000 4.715
Ba Na Si F
2 1 1 1
Cartesian
0.000 2.758 0.000
2.758 0.000 0.000
0.000 0.000 2.357
2.758 2.758 2.357
0.000 0.000 0.000
```

## Properties
- total magnetization (Bohr magnetons per cell) = 0.00
- DFT total energy (eV/f.u.) = -18.37
- symmetry = P4/mmm
- density of states at the Fermi level (states/eV per atom) = 0.232

---

Ac6Co2Pb after structural relaxation. Source: Alexandria, functional PBE.

```
Ac6Co2Pb
1.0
-5.099 5.478 5.486
5.099 -5.478 5.486
5.099 5.478 -5.486
Ac Co Pb
12 4 2
Cartesian
5.099 3.239 -2.997
2.974 1.965 0.000
7.225 1.965 0.000
1.854 5.478 -1.894
3.245 0.000 3.592
0.000 2.239 2.490
5.099 3.239 2.997
1.854 5.478 1.894
3.245 0.000 7.380
-2.125 3.513 5.486
2.125 3.513 5.486
0.000 2.239 8.483
5.099 0.000 1.151
0.000 3.891 0.000
0.000 7.066 0.000
0.000 5.478 4.335
0.000 0.000 0.000
0.000 0.000 5.486
```

## Properties
- total magnetization (Bohr magnetons per cell) = 0.04
- DFT total energy (eV/f.u.) = -43.62
- symmetry = Immm
- formation energy from the elements (eV/atom) = -0.116
- density of states at the Fermi level (states/eV per atom) = 0.923

---

Ba2YI after structural relaxation. Source: Alexandria, functional PBE.

```
Ba2YI
1.0
10.076 0.000 0.000
0.000 10.076 0.000
0.000 0.000 7.107
Ba Y I
8 4 4
Cartesian
2.088 2.519 0.888
2.519 7.126 2.665
2.519 7.988 6.218
2.950 2.519 4.442
7.126 7.557 4.442
7.557 2.088 6.218
7.557 2.950 2.665
7.988 7.557 0.888
0.000 0.000 3.553
0.000 5.038 5.330
5.038 0.000 1.777
5.038 5.038 0.000
0.000 0.000 0.000
0.000 5.038 1.777
5.038 0.000 5.330
5.038 5.038 3.553
```

## Properties
- total magnetization (Bohr magnetons per cell) = 0.00
- DFT total energy (eV/f.u.) = -12.29
- energy relative to the lowest polymorph listed for this composition (meV/atom) = 121
- symmetry = I-42d
- density of states at the Fermi level (states/eV per atom) = 1.146

---

| no. | mass density (kg/m3) |
| --- | --- |
| 1 | 3991 |
| 2 | 9139 |
| 3 | 4515 |